A relaxed Nd2As2O7 crystal. Source: OQMD, functional PBE-GGA.

abc: 7.284 7.284 7.284
angles: 95.30 117.45 116.53
Fractional positions:
1 Nd 0.000 0.000 0.000
2 Nd 0.000 0.500 0.500
3 Nd 0.522 0.475 0.547
4 Nd 0.927 0.975 0.453
5 As 0.464 0.464 0.000
6 As 0.464 0.964 0.500
7 As 0.499 0.997 0.002
8 As 0.995 0.497 0.998
9 O 0.194 0.762 0.932
10 O 0.204 0.394 0.048
11 O 0.204 0.655 0.310
12 O 0.236 0.082 0.373
13 O 0.236 0.363 0.653
14 O 0.346 0.155 0.952
15 O 0.346 0.894 0.690
16 O 0.659 0.112 0.302
17 O 0.659 0.858 0.048
18 O 0.710 0.582 0.347
19 O 0.710 0.863 0.627
20 O 0.810 0.358 0.698
21 O 0.810 0.612 0.952
22 O 0.831 0.262 0.068

Its final energy is -6.98 eV per atom.